Sm6Er3Sc2: optimized geometry, GGA-PBE.

a b c (Å): 16.4200 16.4200 16.4200
angles (deg): 163.42 163.42 23.53
Atoms (fractional coordinates):
Sm: 0.1153 0.6153 0.5000
Sm: 0.1968 0.1968 0.0000
Sm: 0.3847 0.8847 0.5000
Sm: 0.6153 0.1153 0.5000
Sm: 0.8032 0.8032 0.0000
Sm: 0.8847 0.3847 0.5000
Er: 0.3033 0.3033 0.0000
Er: 0.5000 0.5000 0.0000
Er: 0.6967 0.6967 0.0000
Sc: 0.0431 0.0431 0.0000
Sc: 0.9569 0.9569 0.0000

Calculated values
Energy of formation from the pure elements ... 315 meV/atom
Crystal system ... tetragonal
Space group ... No. 139
DOS at the Fermi energy ... 1.5043 states/eV per atom

Be2TeRh: optimized geometry, GGA-PBE.

a b c (Å): 3.1105 3.1105 5.9389
angles (deg): 90.00 90.00 90.00
Atoms (fractional coordinates):
Be: 0.0000 0.0000 0.1778
Be: 0.0000 0.0000 0.8222
Te: 0.5000 0.5000 0.5000
Rh: 0.5000 0.5000 0.0000

Calculated values
Crystal system ... tetragonal
Space group ... No. 123
Uncorrected formation energy ... 0.027 eV/atom
DOS at the Fermi energy ... 0.2399 states/eV per atom

HoTaP2: optimized geometry, GGA-PBE.

a b c (Å): 6.5572 6.5572 6.5572
angles (deg): 33.08 33.08 33.08
Atoms (fractional coordinates):
Ho: 0.0000 0.0000 0.0000
Ta: 0.5000 0.5000 0.5000
P: 0.2416 0.2416 0.2416
P: 0.7584 0.7584 0.7584

Calculated values
Energy of formation from the pure elements ... -1072 meV/atom
Crystal system ... trigonal
Space group ... No. 166
Relative energy among the computed polymorphs ... 65 meV per atom
DOS at the Fermi energy ... 0.3906 states/eV per atom

KZrPdSe2: optimized geometry, GGA-PBE.

a b c (Å): 8.1329 5.2242 6.3602
angles (deg): 90.00 106.96 90.00
Atoms (fractional coordinates):
K: 0.0000 0.2133 0.2500
K: 0.0000 0.7867 0.7500
Zr: 0.5000 0.4977 0.7500
Zr: 0.5000 0.5023 0.2500
Pd: 0.5000 0.0000 0.0000
Pd: 0.5000 0.0000 0.5000
Se: 0.2538 0.2974 0.9093
Se: 0.2538 0.7026 0.4093
Se: 0.7462 0.2974 0.5907
Se: 0.7462 0.7026 0.0907

Calculated values
Crystal system ... monoclinic
Space group ... No. 13
Uncorrected formation energy ... -1.022 eV/atom
DOS at the Fermi energy ... 0.4332 states/eV per atom

CsLa3Pd: optimized geometry, GGA-PBE.

a b c (Å): 5.8145 5.8145 5.8145
angles (deg): 90.00 90.00 90.00
Atoms (fractional coordinates):
Cs: 0.0000 0.0000 0.0000
La: 0.0000 0.0000 0.5000
La: 0.0000 0.5000 0.0000
La: 0.5000 0.0000 0.0000
Pd: 0.5000 0.5000 0.5000

Calculated values
Energy of formation from the pure elements ... 1122 meV/atom
Crystal system ... cubic
Space group ... No. 221
DOS at the Fermi energy ... 0.8914 states/eV per atom

TeWCI2: optimized geometry, GGA-PBE.

a b c (Å): 5.5697 5.5697 5.2238
angles (deg): 90.00 90.00 90.00
Atoms (fractional coordinates):
Te: 0.0000 0.0000 0.0000
W: 0.0000 0.0000 0.5000
C: 0.5000 0.5000 0.0000
I: 0.0000 0.5000 0.5000
I: 0.5000 0.0000 0.5000

Calculated values
Crystal system ... tetragonal
Space group ... No. 123
Relative energy among the computed polymorphs ... 0 meV per atom
Uncorrected formation energy ... 1.871 eV/atom
DOS at the Fermi energy ... 0.9886 states/eV per atom

PuTlO2: optimized geometry, GGA-PBE.

a b c (Å): 3.0447 3.0447 7.2731
angles (deg): 90.00 90.00 90.00
Atoms (fractional coordinates):
Pu: 0.0000 0.0000 0.0000
Tl: 0.0000 0.0000 0.5000
O: 0.5000 0.5000 0.1684
O: 0.5000 0.5000 0.8316

Calculated values
Crystal system ... tetragonal
Space group ... No. 123
Uncorrected formation energy ... -1.649 eV/atom
DOS at the Fermi energy ... 1.6651 states/eV per atom

PmGa7Cu5: optimized geometry, GGA-PBE.

a b c (Å): 6.7337 6.7337 5.2373
angles (deg): 112.77 112.77 82.69
Atoms (fractional coordinates):
Pm: 0.0000 0.0000 0.0000
Ga: 0.1919 0.7894 0.4905
Ga: 0.2282 0.2282 0.7310
Ga: 0.3519 0.3519 0.3529
Ga: 0.3539 0.6613 0.0086
Ga: 0.6521 0.6521 0.6532
Ga: 0.6613 0.3539 0.0086
Ga: 0.7894 0.1919 0.4905
Cu: 0.4958 0.9980 0.4996
Cu: 0.4959 0.9982 0.9949
Cu: 0.7687 0.7687 0.2676
Cu: 0.9980 0.4958 0.4996
Cu: 0.9982 0.4959 0.9949

Calculated values
Energy of formation from the pure elements ... -268 meV/atom
Crystal system ... monoclinic
Space group ... No. 8
DOS at the Fermi energy ... 0.2722 states/eV per atom

Na2BiAsBr: optimized geometry, GGA-PBE.

a b c (Å): 5.1422 5.1422 5.9791
angles (deg): 90.00 90.00 90.00
Atoms (fractional coordinates):
Na: 0.0000 0.5000 0.0000
Na: 0.5000 0.0000 0.0000
Bi: 0.0000 0.0000 0.5000
As: 0.5000 0.5000 0.5000
Br: 0.0000 0.0000 0.0000

Calculated values
Crystal system ... tetragonal
Space group ... No. 123
Uncorrected formation energy ... -0.108 eV/atom
DOS at the Fermi energy ... 0.6813 states/eV per atom

NaAl12Zn4: optimized geometry, GGA-PBE.

a b c (Å): 7.6610 7.6610 7.6610
angles (deg): 109.47 109.47 109.47
Atoms (fractional coordinates):
Na: 0.0000 0.0000 0.0000
Al: 0.1565 0.3497 0.5062
Al: 0.1565 0.6503 0.8068
Al: 0.1932 0.8435 0.3497
Al: 0.3497 0.1932 0.8435
Al: 0.3497 0.5062 0.1565
Al: 0.4938 0.8435 0.6503
Al: 0.5062 0.1565 0.3497
Al: 0.6503 0.4938 0.8435
Al: 0.6503 0.8068 0.1565
Al: 0.8068 0.1565 0.6503
Al: 0.8435 0.3497 0.1932
Al: 0.8435 0.6503 0.4938
Zn: 0.0000 0.0000 0.5000
Zn: 0.0000 0.5000 0.0000
Zn: 0.5000 0.0000 0.0000
Zn: 0.5000 0.5000 0.5000

Calculated values
Energy of formation from the pure elements ... 281 meV/atom
Crystal system ... cubic
Space group ... No. 204
DOS at the Fermi energy ... 0.4778 states/eV per atom

PrIrC: optimized geometry, GGA-PBE.

a b c (Å): 6.6349 6.6349 5.2989
angles (deg): 90.00 90.00 90.00
Atoms (fractional coordinates):
Pr: 0.0000 0.2678 0.0000
Pr: 0.0000 0.7322 0.0000
Pr: 0.2678 0.0000 0.5000
Pr: 0.7322 0.0000 0.5000
Ir: 0.1968 0.5000 0.5000
Ir: 0.5000 0.1968 0.0000
Ir: 0.5000 0.8032 0.0000
Ir: 0.8032 0.5000 0.5000
C: 0.0000 0.2701 0.5000
C: 0.0000 0.7299 0.5000
C: 0.2701 0.0000 0.0000
C: 0.7299 0.0000 0.0000

Calculated values
Energy of formation from the pure elements ... 298 meV/atom
Crystal system ... tetragonal
Space group ... No. 131
Relative energy among the computed polymorphs ... 693 meV per atom
DOS at the Fermi energy ... 0.7029 states/eV per atom

Ho2HfN3: optimized geometry, GGA-PBE.

a b c (Å): 6.7016 6.7016 8.1918
angles (deg): 108.30 108.30 28.52
Atoms (fractional coordinates):
Ho: 0.1636 0.1636 0.3297
Ho: 0.3346 0.3346 0.1671
Ho: 0.6654 0.6654 0.8329
Ho: 0.8364 0.8364 0.6703
Hf: 0.0000 0.0000 0.5000
Hf: 0.5000 0.5000 0.0000
N: 0.0245 0.0245 0.8122
N: 0.3155 0.3155 0.8664
N: 0.3762 0.3762 0.4753
N: 0.6238 0.6238 0.5247
N: 0.6845 0.6845 0.1336
N: 0.9755 0.9755 0.1878

Calculated values
Crystal system ... monoclinic
Space group ... No. 12
Uncorrected formation energy ... -1.404 eV/atom
DOS at the Fermi energy ... 0.3153 states/eV per atom

DOS at the Fermi energy of number 9 (Na2BiAsBr)?
0.6813 states/eV per atom

Which value of DOS at the Fermi energy does entry 12 give?
0.3153 states/eV per atom

Please write out number 8 again, unchanged.
PmGa7Cu5: optimized geometry, GGA-PBE.

a b c (Å): 6.7337 6.7337 5.2373
angles (deg): 112.77 112.77 82.69
Atoms (fractional coordinates):
Pm: 0.0000 0.0000 0.0000
Ga: 0.1919 0.7894 0.4905
Ga: 0.2282 0.2282 0.7310
Ga: 0.3519 0.3519 0.3529
Ga: 0.3539 0.6613 0.0086
Ga: 0.6521 0.6521 0.6532
Ga: 0.6613 0.3539 0.0086
Ga: 0.7894 0.1919 0.4905
Cu: 0.4958 0.9980 0.4996
Cu: 0.4959 0.9982 0.9949
Cu: 0.7687 0.7687 0.2676
Cu: 0.9980 0.4958 0.4996
Cu: 0.9982 0.4959 0.9949

Calculated values
Energy of formation from the pure elements ... -268 meV/atom
Crystal system ... monoclinic
Space group ... No. 8
DOS at the Fermi energy ... 0.2722 states/eV per atom